No. 1
The following is a DFT calculation (GGA-PBE) of a geometry-optimized SrLaSm4S8 structure.

## Properties
ΔE_f (raw) ... -2.00 eV per atom
Uncorrected energy ... -6.17 eV/atom
Magnetization ... 0.00 μB/cell

Cell lengths 8.3266, 8.3266, 8.4120 Å; angles 60.34, 60.34, 60.00 degrees
Fractional coordinates of all 14 atoms:
S: 0.2408 0.7880 0.7304
S: 0.2371 0.2371 0.2888
S: 0.2408 0.2408 0.7304
S: 0.7537 0.2289 0.2637
S: 0.2289 0.7537 0.2637
S: 0.7537 0.7537 0.2637
S: 0.7880 0.2408 0.7304
S: 0.7577 0.7577 0.7270
Sm: 0.0017 0.0017 0.5017
Sm: 0.6255 0.6255 0.1236
Sm: 0.4950 0.0017 0.5017
Sm: 0.0017 0.4950 0.5017
La: 0.0014 0.0014 0.9958
Sr: 0.3742 0.3742 0.8774

No. 2
The following is a DFT calculation (GGA-PBE) of a geometry-optimized Mn2TeCl structure.

## Properties
ΔE_f (raw) ... -0.12 eV per atom
Uncorrected energy ... -5.96 eV/atom
Magnetization ... 8.64 μB/cell

Cell lengths 4.7132, 4.7132, 7.4552 Å; angles 58.03, 58.03, 44.65 degrees
Fractional coordinates of all 4 atoms:
Mn: 0.5547 0.5547 0.5627
Mn: 0.9453 0.9453 0.9373
Cl: 0.2500 0.2500 0.2500
Te: 0.7500 0.7500 0.7500

No. 3
The following is a DFT calculation (GGA-PBE) of a geometry-optimized CaCeN structure.

## Properties
ΔE_f (raw) ... -0.26 eV per atom
Uncorrected energy ... -5.68 eV/atom
Magnetization ... 0.69 μB/cell

Cell lengths 4.2913, 4.2913, 4.2913 Å; angles 60.00, 60.00, 60.00 degrees
Fractional coordinates of all 3 atoms:
Ce: 0.5000 0.5000 0.5000
N: 0.2500 0.2500 0.2500
Ca: 0.0000 0.0000 0.0000

No. 4
The following is a DFT calculation (GGA-PBE) of a geometry-optimized NaCeS2O8 structure.

## Properties
ΔE_f (raw) ... -1.97 eV per atom
Uncorrected energy ... -6.56 eV/atom
Magnetization ... 1.00 μB/cell

Cell lengths 5.5158, 5.5158, 7.2355 Å; angles 90.00, 90.00, 120.00 degrees
Fractional coordinates of all 12 atoms:
O: 0.3333 0.6667 0.9903
O: 0.6266 0.8097 0.7142
O: 0.8169 0.6266 0.2858
O: 0.1903 0.8169 0.7142
O: 0.8097 0.1831 0.2858
O: 0.1831 0.3734 0.7142
O: 0.6667 0.3333 0.0097
O: 0.3734 0.1903 0.2858
S: 0.6667 0.3333 0.2097
S: 0.3333 0.6667 0.7903
Ce: 0.0000 0.0000 0.5000
Na: 0.0000 0.0000 0.0000